(1)
Below is an optimized crystal structure of K2NaF4, with properties calculated at the PBE level.

Lattice parameters (Å, degrees): 4.352 4.352 13.532 90.00 90.00 90.00
Space group I4/mmm (No. 139)
Symmetry-distinct sites (fractional):
1 K 0.000 0.000 0.136 (multiplicity 4)
2 Na 0.000 0.000 0.500 (multiplicity 2)
3 F 0.000 0.000 0.329 (multiplicity 4)
4 F 0.000 0.500 0.000 (multiplicity 4)

Properties
Total magnetization (μB per atom): 0.147
Density of states at the Fermi level (states/eV/f.u.): 13.288
DFT total energy (eV/atom): -3.88
Formation energy (no corrections) (eV per formula unit): -16.14

=====

(2)
Below is an optimized crystal structure of Pr4AlTe3, with properties calculated at the PBE level.

Lattice parameters (Å, degrees): 9.146 12.782 4.466 90.00 90.00 90.00
Space group Cmmm (No. 65)
Symmetry-distinct sites (fractional):
1 Pr 0.000 0.241 0.000 (multiplicity 4)
2 Pr 0.240 0.000 0.500 (multiplicity 4)
3 Al 0.000 0.000 0.000 (multiplicity 2)
4 Te 0.000 0.500 0.000 (multiplicity 2)
5 Te 0.250 0.250 0.500 (multiplicity 4)

Properties
Total magnetization (μB per atom): 0.000
Density of states at the Fermi level (states/eV/f.u.): 3.537
DFT total energy (eV/atom): -5.20
Formation energy (no corrections) (eV per formula unit): -9.34

=====

(3)
Below is an optimized crystal structure of YMn2Tl, with properties calculated at the PBE level.

Lattice parameters (Å, degrees): 3.469 3.469 6.951 90.00 90.00 90.00
Space group P4/mmm (No. 123)
Symmetry-distinct sites (fractional):
1 Y 0.000 0.000 0.000 (multiplicity 1)
2 Mn 0.500 0.500 0.268 (multiplicity 2)
3 Tl 0.000 0.000 0.500 (multiplicity 1)

Properties
Total magnetization (μB per atom): 1.648
Density of states at the Fermi level (states/eV/f.u.): 3.777
DFT total energy (eV/atom): -6.47

=====

(4)
Below is an optimized crystal structure of CaAs2Rh2, with properties calculated at the PBE level.

Lattice parameters (Å, degrees): 7.493 7.493 3.135 90.00 90.00 90.00
Space group P4/mbm (No. 127)
Symmetry-distinct sites (fractional):
1 Ca 0.000 0.000 0.000 (multiplicity 2)
2 As 0.154 0.346 0.500 (multiplicity 4)
3 Rh 0.131 0.631 0.000 (multiplicity 4)

Properties
Total magnetization (μB per atom): 0.000
Density of states at the Fermi level (states/eV/f.u.): 2.641
DFT total energy (eV/atom): -5.63

=====

- Which of these has the highest total magnetization?
  YMn2Tl